Computed, not measured: a geometry-optimized Zr2BeSi3Ir4 structure at the GGA-PBE level of DFT.

Summary:
V = 156.0 Å³ per cell
total moment = 0.0 μB per formula unit
formation energy from raw total energies = -8.65 eV/f.u.

abc: 4.032 4.032 9.596
angles: 90.00 90.00 90.00
Atoms (fractional coordinates):
1 Zr 0.000 0.500 0.242
2 Zr 0.500 0.000 0.758
3 Be 0.500 0.500 0.000
4 Si 0.000 0.000 0.000
5 Si 0.000 0.500 0.637
6 Si 0.500 0.000 0.363
7 Ir 0.000 0.000 0.500
8 Ir 0.000 0.500 0.876
9 Ir 0.500 0.000 0.124
10 Ir 0.500 0.500 0.500